(1)
# TcCl3O

A relaxed structure of TcCl3O (PBE, the Alexandria database).

abc: 4.6695 4.6695 4.6695
angles: 90.00 90.00 90.00
With the nearest neighbours (Å) after each atom.
Positions (direct):
Tc  0.0000  0.0000  0.0000  6 Cl 2.33
Cl  0.0000  0.5000  0.0000  2 Tc 2.33
Cl  0.0000  0.0000  0.5000  2 Tc 2.33
Cl  0.5000  0.0000  0.0000  2 Tc 2.33
O  0.5000  0.5000  0.5000  12 Cl 3.30

Properties
energy relative to the lowest polymorph listed for this composition: 6.016 eV per formula unit
E_form (uncorrected): 513 meV per atom
total magnetic moment: 0.0 μB per formula unit



(2)
# BaMgZnGa

A relaxed structure of BaMgZnGa (PBE, the Alexandria database).

abc: 4.6848 4.6848 6.5551
angles: 69.06 69.06 60.00
With the nearest neighbours (Å) after each atom.
Positions (direct):
Ba  0.8049  0.8049  0.5852  4 Zn 3.55-3.63, 4 Ga 3.56-3.66
Ga  0.0093  0.0093  0.9720  3 Mg 2.79, 3 Zn 2.97
Zn  0.6070  0.6070  0.1791  3 Mg 2.76, 3 Ga 2.97
Mg  0.3046  0.3046  0.0861  3 Zn 2.76, 3 Ga 2.79

Properties
energy relative to the lowest polymorph listed for this composition: 0.000 eV per formula unit
energy of formation from the pure elements: -0.836 eV/f.u.
total magnetic moment: 0.0 μB per formula unit



(3)
# ErTmIn2Te4

A relaxed structure of ErTmIn2Te4 (PBE, the Alexandria database).

abc: 4.3815 7.5844 8.4984
angles: 107.31 90.00 90.00
With the nearest neighbours (Å) after each atom.
Positions (direct):
In  0.5000  0.0000  0.5000  6 Te 3.42
In  0.0000  0.5000  0.5000  6 Te 3.42
Te  0.0000  0.2603  0.7836  1 Tm 3.07, 2 Er 3.08, 3 In 3.42
Te  0.5000  0.7623  0.7841  2 Tm 3.07, 1 Er 3.08, 3 In 3.42
Te  0.0000  0.7397  0.2164  1 Tm 3.07, 2 Er 3.08, 3 In 3.42
Te  0.5000  0.2377  0.2159  2 Tm 3.07, 1 Er 3.08, 3 In 3.42
Tm  0.0000  0.0000  0.0000  6 Te 3.07
Er  0.5000  0.5000  0.0000  6 Te 3.08

Properties
E_form (uncorrected): -948 meV per atom
total magnetic moment: 0.0 μB per formula unit



(4)
# Ni2WBr

A relaxed structure of Ni2WBr (PBE, the Alexandria database).

abc: 3.0479 3.0487 6.3638
angles: 90.00 90.00 90.00
With the nearest neighbours (Å) after each atom.
Positions (direct):
W  0.0000  0.0000  0.4543  5 Ni 2.53-2.59
Ni  0.5000  0.5000  0.2452  4 Ni 2.49, 4 W 2.53
Ni  0.0000  0.0000  0.0480  4 Ni 2.49, 1 W 2.59
Br  0.5000  0.5000  0.7524  5 Ni 2.86-3.14, 4 W 2.87, 4 Br 3.05

Properties
energy relative to the lowest polymorph listed for this composition: 0.662 eV per formula unit
E_form (uncorrected): 519 meV per atom
total magnetic moment: 0.0 μB per formula unit